No. 1
VASP calculation (PBE-GGA) on an optimized crystal structure of HfCoS2N.

Properties
E above lowest polymorph = 173 kJ/mol of formula units
Raw formation energy = 136.1 kJ/mol of formula units

a = 4.9870 Å, b = 4.9870 Å, c = 4.0649 Å
α = 90.00°, β = 90.00°, γ = 90.00°
Last column: nearest neighbours and their distance in Å.
Space group P4/mmm (No. 123)
Unique sites:
Hf 0.0000 0.0000 0.0000 [1 per cell]  2 N 2.03
Co 0.5000 0.5000 0.5000 [1 per cell]  8 S 3.22, 4 N 3.53
S 0.0000 0.5000 0.0000 [2 per cell]  2 Hf 2.49
N 0.0000 0.0000 0.5000 [1 per cell]  2 Hf 2.03



No. 2
VASP calculation (PBE-GGA) on an optimized crystal structure of TbNp3S6.

Properties
Raw formation energy = -1449.9 kJ/mol of formula units

a = 10.8223 Å, b = 3.9479 Å, c = 11.4195 Å
α = 90.00°, β = 107.34°, γ = 90.00°
Last column: nearest neighbours and their distance in Å.
Space group P2_1/m (No. 11)
Unique sites:
Tb 0.0459 0.2500 0.1912 [2 per cell]  8 S 2.85-3.05
Np 0.1585 0.2500 0.5799 [2 per cell]  6 S 2.68-2.76
Np 0.3168 0.7500 0.9965 [2 per cell]  7 S 2.74-2.89
Np 0.4301 0.2500 0.3347 [2 per cell]  6 S 2.70-2.77
S 0.0856 0.7500 0.4032 [2 per cell]  3 Np 2.71-2.76
S 0.1143 0.2500 0.9603 [2 per cell]  3 Tb 2.85-2.94, 2 Np 2.89
S 0.1903 0.7500 0.7452 [2 per cell]  3 Np 2.68-2.79, 1 Tb 2.86
S 0.2550 0.7500 0.2236 [2 per cell]  3 Np 2.77-2.87, 2 Tb 2.94
S 0.4014 0.2500 0.5634 [2 per cell]  4 Np 2.69-2.72
S 0.4826 0.2500 0.1159 [2 per cell]  4 Np 2.72-2.83



No. 3
VASP calculation (PBE-GGA) on an optimized crystal structure of TlCrIn2.

Properties
E above lowest polymorph = 37 kJ/mol of formula units
Energy of formation = 352 meV per atom

a = 3.4289 Å, b = 3.4289 Å, c = 28.5605 Å
α = 90.00°, β = 90.00°, γ = 120.00°
Last column: nearest neighbours and their distance in Å.
Space group R3m (No. 160, hexagonal axes)
Unique sites:
Tl 0.0000 0.0000 0.0000 [3 per cell]  3 Cr 2.96, 3 In 3.29
Cr 0.0000 0.0000 0.2563 [3 per cell]  3 In 2.90, 3 Tl 2.96
In 0.0000 0.0000 0.5155 [3 per cell]  3 Cr 2.90, 3 In 3.24
In 0.0000 0.0000 0.7589 [3 per cell]  9 In 3.24-3.43, 3 Tl 3.29



No. 4
VASP calculation (PBE-GGA) on an optimized crystal structure of Rb2Li3NpCl12.

Properties
Raw formation energy = -2463.3 kJ/mol of formula units

a = 8.3576 Å, b = 8.3576 Å, c = 32.3893 Å
α = 90.00°, β = 90.00°, γ = 120.00°
Last column: nearest neighbours and their distance in Å.
Space group R-3m (No. 166, hexagonal axes)
Unique sites:
Rb 0.0000 0.0000 0.0746 [6 per cell]  3 Cl 3.21
Li 0.0000 0.5000 0.0000 [9 per cell]  4 Cl 2.41
Np 0.0000 0.0000 0.5000 [3 per cell]  6 Cl 2.49
Cl 0.0519 0.5260 0.1224 [18 per cell]  1 Np 2.49
Cl 0.0601 0.5300 0.3621 [18 per cell]  2 Li 2.41



No. 5
VASP calculation (PBE-GGA) on an optimized crystal structure of Pu3AgGe2.

Properties
E above lowest polymorph = 252 kJ/mol of formula units
Energy of formation = 154 meV per atom

a = 15.3967 Å, b = 3.4990 Å, c = 10.1708 Å
α = 90.00°, β = 117.27°, γ = 90.00°
Last column: nearest neighbours and their distance in Å.
Space group C2/m (No. 12)
Unique sites:
Pu 0.0491 0.0000 0.4364 [4 per cell]  4 Pu 2.35-2.57
Pu 0.0800 0.5000 0.3092 [4 per cell]  3 Pu 2.35-2.51
Pu 0.2367 0.0000 0.5694 [4 per cell]  4 Pu 2.40-2.57
Ag 0.1445 0.5000 0.7496 [4 per cell]  3 Ge 2.60-2.81
Ge 0.0730 0.0000 0.8940 [4 per cell]  1 Ge 2.46
Ge 0.1681 0.0000 0.1647 [4 per cell]  1 Ge 2.46, 1 Ag 2.60



No. 6
VASP calculation (PBE-GGA) on an optimized crystal structure of SrIn2Hg.

Properties
Energy of formation = -332 meV per atom

a = 7.5991 Å, b = 7.6127 Å, c = 7.8461 Å
α = 90.00°, β = 90.00°, γ = 90.00°
Last column: nearest neighbours and their distance in Å.
Space group F222 (No. 22)
Unique sites:
Sr 0.0000 0.0000 0.0000 [4 per cell]  4 Hg 3.33, 4 In 3.33
In 0.0000 0.0000 0.5000 [4 per cell]  4 In 3.33, 4 Hg 3.33
In 0.2500 0.2500 0.2500 [4 per cell]  4 In 3.33, 4 Sr 3.33
Hg 0.2500 0.2500 0.7500 [4 per cell]  4 In 3.33, 4 Sr 3.33



No. 7
VASP calculation (PBE-GGA) on an optimized crystal structure of La3DyY6Er2.

Properties
Energy of formation = 23 meV per atom

a = 6.2471 Å, b = 10.8184 Å, c = 11.8974 Å
α = 90.00°, β = 100.07°, γ = 90.00°
Last column: nearest neighbours and their distance in Å.
Space group C2/m (No. 12)
Unique sites:
La 0.0000 0.0000 0.0000 [2 per cell]  6 La 3.61, 6 Y 3.65
La 0.0000 0.3334 0.0000 [4 per cell]  6 La 3.61, 6 Y 3.65
Dy 0.0000 0.5000 0.5000 [2 per cell]  6 Y 3.54, 6 Er 3.61
Y 0.2475 0.0000 0.7440 [4 per cell]  2 Er 3.54, 1 Dy 3.54, 6 Y 3.60-3.61, 3 La 3.65
Y 0.2479 0.3332 0.7439 [8 per cell]  2 Er 3.53-3.54, 1 Dy 3.54, 6 Y 3.60-3.61, 3 La 3.65
Er 0.0000 0.1667 0.5000 [4 per cell]  6 Y 3.53-3.54, 3 Dy 3.61, 3 Er 3.61



No. 8
VASP calculation (PBE-GGA) on an optimized crystal structure of Hg2SbAs.

Properties
E above lowest polymorph = 42 kJ/mol of formula units
Raw formation energy = 55.6 kJ/mol of formula units

a = 3.0489 Å, b = 5.9438 Å, c = 5.8304 Å
α = 90.00°, β = 91.28°, γ = 90.00°
Last column: nearest neighbours and their distance in Å.
Space group P2/m (No. 10)
Unique sites:
Hg 0.0000 0.0000 0.0000 [1 per cell]  2 Sb 2.92, 4 Hg 2.97-3.05
Hg 0.0000 0.5000 0.0000 [1 per cell]  2 As 2.92, 4 Hg 2.97-3.05
Sb 0.0000 0.0000 0.5000 [1 per cell]  2 Hg 2.92, 2 As 2.97, 2 Sb 3.05
As 0.0000 0.5000 0.5000 [1 per cell]  2 Hg 2.92, 2 Sb 2.97, 2 As 3.05



Number 1: E -6.45 eV/atom, mass density 5.2 g/cm³, total moment 3.9 μB/f.u.. Number 2: E -8.32 eV/atom, mass density 7.6 g/cm³, total moment 4.0 μB/f.u.. Number 3: E -4.01 eV/atom, mass density 8.3 g/cm³, total moment 4.1 μB/f.u.. Number 4: E -3.79 eV/atom, mass density 2.2 g/cm³, total moment 3.0 μB/f.u.. Number 5: E -9.03 eV/atom, mass density 13.4 g/cm³, total moment 0.0 μB/f.u.. Number 6: E -2.20 eV/atom, mass density 7.6 g/cm³, total moment 0.0 μB/f.u.. Number 7: E -5.58 eV/atom, mass density 6.1 g/cm³, total moment 0.0 μB/f.u.. Number 8: E -2.20 eV/atom, mass density 9.4 g/cm³, total moment 0.0 μB/f.u..